Record 1
## KZnIr2 (PBE-GGA)

Data for a relaxed structure of KZnIr2.

a b c (Å): 5.5058 5.5058 2.5910
angles (deg): 90.00 90.00 116.23
Element x y z (fractional)
1 K 0.0000 0.0000 0.0000
2 Zn 0.5000 0.5000 0.0000
3 Ir 0.0000 0.5000 0.5000
4 Ir 0.5000 0.0000 0.5000

Summary:
Its space group is No. 65.


Record 2
## KZnIr2 (PBE-GGA)

Data for a relaxed structure of KZnIr2.

a b c (Å): 2.7862 2.7862 9.7677
angles (deg): 90.00 90.00 116.27
Element x y z (fractional)
1 K 0.0000 0.0000 0.0000
2 Zn 0.0000 0.0000 0.5000
3 Ir 0.5000 0.5000 0.2864
4 Ir 0.5000 0.5000 0.7136

Summary:
Its space group is No. 65.


Record 3
## KZnIr2 (PBE-GGA)

Data for a relaxed structure of KZnIr2.

a b c (Å): 5.6928 5.6928 5.8985
angles (deg): 111.82 111.82 28.01
Element x y z (fractional)
1 K 0.0000 0.0000 0.0000
2 Zn 0.5000 0.5000 0.5000
3 Ir 0.2105 0.2105 0.6394
4 Ir 0.7895 0.7895 0.3606

Summary:
Its space group is No. 12.


Record 4
## KZn2Ir (PBE-GGA)

Data for a relaxed structure of KZn2Ir.

a b c (Å): 4.7451 4.7451 4.7451
angles (deg): 60.00 60.00 60.00
Element x y z (fractional)
1 K 0.0000 0.0000 0.0000
2 Zn 0.5000 0.5000 0.5000
3 Zn 0.7500 0.7500 0.7500
4 Ir 0.2500 0.2500 0.2500

Summary:
The calculation puts the energy above the lowest structure with this stoichiometry at 668 meV/atom. Its space group is No. 216.


Record 5
## KZn2Ir (PBE-GGA)

Data for a relaxed structure of KZn2Ir.

a b c (Å): 2.6666 5.1257 5.7140
angles (deg): 90.00 90.00 90.00
Element x y z (fractional)
1 K 0.0000 0.0000 0.0000
2 Zn 0.0000 0.5000 0.5000
3 Zn 0.5000 0.5000 0.0000
4 Ir 0.5000 0.0000 0.5000

Summary:
The calculation puts the energy above the lowest structure with this stoichiometry at 599 meV/atom. Its space group is No. 47.


Record 6
## KZnIr2 (PBE-GGA)

Data for a relaxed structure of KZnIr2.

a b c (Å): 5.3256 5.3256 5.3256
angles (deg): 136.24 136.24 63.60
Element x y z (fractional)
1 K 0.0000 0.0000 0.0000
2 Zn 0.5000 0.5000 0.0000
3 Ir 0.2500 0.7500 0.5000
4 Ir 0.7500 0.2500 0.5000

Summary:
Its space group is No. 139.


Record 7
## KZnIr4 (PBE-GGA)

Data for a relaxed structure of KZnIr4.

a b c (Å): 5.3091 5.3091 5.3091
angles (deg): 60.00 60.00 60.00
Element x y z (fractional)
1 K 0.0000 0.0000 0.0000
2 Zn 0.7500 0.7500 0.7500
3 Ir 0.3754 0.3754 0.3754
4 Ir 0.3754 0.3754 0.8737
5 Ir 0.3754 0.8737 0.3754
6 Ir 0.8737 0.3754 0.3754

Summary:
Its space group is No. 216.


Record 8
## KZnIr2 (PBE-GGA)

Data for a relaxed structure of KZnIr2.

a b c (Å): 2.7681 4.2583 7.3990
angles (deg): 90.00 100.51 90.00
Element x y z (fractional)
1 K 0.0000 0.0000 0.0000
2 Zn 0.6515 0.5000 0.3291
3 Ir 0.3064 0.5000 0.6428
4 Ir 0.7638 0.0000 0.5559

Summary:
Its space group is No. 6.


For the records above, the corresponding D(E_F) values read 3.87; 3.32; 1.17; 1.03; 2.82; 5.82; 9.54; 3.28 states/eV per cell.
For the records above, the corresponding DFT formation energy values read 0.77; 0.39; 0.41; 0.67; 0.60; 0.94; 0.52; 0.27 eV per atom.